{"formula": "In2HgOs2", "functional": "PBE", "state": "optimized geometry", "lattice": [[6.887, 0.000, 0.000], [0.000, 6.887, 0.000], [0.000, 0.000, 4.140]], "species": ["In", "In", "In", "In", "Hg", "Hg", "Os", "Os", "Os", "Os"], "frac_coords": [[0.170, 0.330, 0.000], [0.330, 0.830, 0.000], [0.670, 0.170, 0.000], [0.830, 0.670, 0.000], [0.000, 0.000, 0.500], [0.500, 0.500, 0.500], [0.126, 0.626, 0.500], [0.374, 0.126, 0.500], [0.626, 0.874, 0.500], [0.874, 0.374, 0.500]], "e_above_lowest_polymorph_mev_per_atom": 0.0, "formation_enthalpy_0k_mev_per_atom": 498, "sg": "No. 127", "e_tot_ev_per_cell": -51.5, "magmom_total_mub_per_fu": 0.0, "volume_a3_per_atom": 19.64, "dos_at_fermi_per_ev_fu": 2.233}